A geometry-optimized MnPO4 structure. Source: Alexandria via LeMat-Bulk, functional PBE with a Hubbard U.

Structure (POSCAR):
```
MnPO4
1.0
4.923 0.000 0.000
0.000 6.054 0.000
0.000 0.000 9.878
Mn P O
4 4 16
direct
0.418 0.750 0.210 Mn
0.082 0.750 0.711 Mn
0.918 0.250 0.289 Mn
0.582 0.250 0.789 Mn
0.408 0.250 0.101 P
0.092 0.250 0.601 P
0.908 0.750 0.399 P
0.592 0.750 0.899 P
0.717 0.250 0.125 O
0.783 0.250 0.625 O
0.217 0.750 0.375 O
0.283 0.750 0.875 O
0.142 0.250 0.447 O
0.358 0.250 0.947 O
0.858 0.750 0.553 O
0.642 0.750 0.053 O
0.262 0.050 0.170 O
0.238 0.050 0.670 O
0.262 0.450 0.170 O
0.238 0.450 0.670 O
0.738 0.550 0.830 O
0.762 0.550 0.330 O
0.762 0.950 0.330 O
0.738 0.950 0.830 O
```

## Properties
M_tot = 4.00 μB/f.u.
electronic total energy = -178.170 eV per cell
space group = No. 62